A relaxed structure of Dy3TmRh2, computed with PBE.

Structure (POSCAR):
```
Dy3TmRh2
1.0
7.7057 -2.1111 0.0000
7.7057 2.1111 0.0000
-1.4372 0.0000 4.4833
Dy Tm Rh
3 1 2
Direct
0.0000 0.0000 0.0000
0.3144 0.3144 0.8147
0.6856 0.6856 0.1853
0.5000 0.5000 0.5000
0.1294 0.1294 0.6306
0.8706 0.8706 0.3694
```

For the distance to the lowest polymorph of the same formula, the calculation gives 36 meV per atom.



A relaxed structure of DyTm2Rh2, computed with PBE.

Structure (POSCAR):
```
DyTm2Rh2
1.0
1.9466 -8.3465 0.0000
1.9466 8.3465 0.0000
0.0000 0.0000 7.2276
Dy Tm Rh
2 4 4
Direct
0.1231 0.8769 0.5000
0.8769 0.1231 0.0000
0.3126 0.6874 0.3859
0.4693 0.5307 0.6686
0.5307 0.4693 0.1686
0.6874 0.3126 0.8859
0.0534 0.9466 0.8696
0.3036 0.6964 0.7826
0.6964 0.3036 0.2826
0.9466 0.0534 0.3696
```

For the distance to the lowest polymorph of the same formula, the calculation gives 102 meV per atom.



A relaxed structure of DyTmRh, computed with PBE.

Structure (POSCAR):
```
DyTmRh
1.0
0.0000 3.3766 3.3766
3.3766 0.0000 3.3766
3.3766 3.3766 0.0000
Dy Tm Rh
1 1 1
Direct
0.0000 0.0000 0.0000
0.5000 0.5000 0.5000
0.7500 0.7500 0.7500
```

For the distance to the lowest polymorph of the same formula, the calculation gives 31 meV per atom.



A relaxed structure of DyTm3Rh8, computed with PBE.

Structure (POSCAR):
```
DyTm3Rh8
1.0
5.3107 0.0000 0.0000
-2.6554 4.5992 0.0000
0.0000 0.0000 8.6782
Dy Tm Rh
1 3 8
Direct
0.0000 0.0000 0.0000
0.0000 0.0000 0.3677
0.6667 0.3333 0.4991
0.6667 0.3333 0.8660
0.1640 0.3280 0.6823
0.1640 0.8360 0.6823
0.3333 0.6667 0.4331
0.3333 0.6667 0.9329
0.5027 0.0053 0.1842
0.5027 0.4973 0.1842
0.6720 0.8360 0.6823
0.9947 0.4973 0.1842
```



A relaxed structure of Dy2TmRh2, computed with PBE.

Structure (POSCAR):
```
Dy2TmRh2
1.0
2.9967 -7.0597 0.0000
2.9967 7.0597 0.0000
0.0000 0.0000 5.5775
Dy Tm Rh
4 2 4
Direct
0.0824 0.9176 0.7500
0.2787 0.7213 0.2500
0.7213 0.2787 0.7500
0.9176 0.0824 0.2500
0.5000 0.5000 0.0000
0.5000 0.5000 0.5000
0.1203 0.3670 0.7500
0.3670 0.1203 0.2500
0.6330 0.8797 0.7500
0.8797 0.6330 0.2500
```

For the distance to the lowest polymorph of the same formula, the calculation gives 273 meV per atom.



A relaxed structure of DyTm3Rh4, computed with PBE.

Structure (POSCAR):
```
DyTm3Rh4
1.0
2.3962 1.3834 7.8306
-2.3962 1.3834 7.8306
0.0000 -2.7668 7.8306
Dy Tm Rh
1 3 4
Direct
0.0000 0.0000 0.0000
0.2495 0.2495 0.2495
0.5000 0.5000 0.5000
0.7505 0.7505 0.7505
0.1256 0.1256 0.1256
0.3757 0.3757 0.3757
0.6243 0.6243 0.6243
0.8744 0.8744 0.8744
```



Calculated VASP energy in order - -36.367, -31.573, -18.277, -85.734, -30.770, -55.036 eV/f.u.
Calculated formation enthalpy at 0 K in order - -0.564, -0.665, -0.617, -0.742, -0.478, -0.952 eV per atom